Record 1
8
Lattice="0.000 5.125 5.125 5.125 0.000 5.125 5.125 5.125 0.000" Properties=species:S:1:pos:R:3 comment="La7Mn | Alexandria | GGA-PBE | relaxed" spacegroup=Fm-3m e_form_mev_per_atom=143.1 pbc="T T T"
La 0.000 0.000 0.000
La 2.563 2.563 0.000
La 2.563 0.000 2.563
La 5.125 2.563 2.563
La 0.000 2.563 2.563
La 2.563 5.125 2.563
La 2.563 2.563 5.125
Mn 5.125 5.125 5.125

***

Record 2
12
Lattice="13.343 0.000 0.000 0.000 3.461 0.000 -1.845 0.000 7.694" Properties=species:S:1:pos:R:3 comment="HgPb2 | Alexandria | GGA-PBE | relaxed" spacegroup=Cm de_polymorph_mev_per_atom=20 e_form_mev_per_atom=32.8 pbc="T T T"
Hg 0.000 0.000 0.000
Hg 1.612 1.730 2.600
Hg 6.672 1.730 0.000
Hg 8.283 0.000 2.600
Pb -0.415 0.000 4.781
Pb 1.160 1.730 7.407
Pb 3.125 0.000 5.141
Pb 4.816 0.000 2.133
Pb 6.257 1.730 4.781
Pb 7.832 0.000 7.407
Pb 9.796 1.730 5.141
Pb 11.488 1.730 2.133

***

Record 3
18
Lattice="2.037 -5.915 0.000 2.037 5.915 0.000 0.000 0.000 11.083" Properties=species:S:1:pos:R:3 comment="PaFe5Ge3 | Alexandria | GGA-PBE | relaxed" spacegroup=Cmcm e_form_mev_per_atom=-194.6 pbc="T T T"
Pa 2.037 3.804 8.313
Pa 2.037 -3.804 2.771
Fe 0.000 0.000 0.000
Fe 0.000 0.000 5.542
Fe 2.037 3.564 0.412
Fe 2.037 3.564 5.129
Fe 2.037 1.237 7.045
Fe 2.037 1.237 9.580
Fe 2.037 -1.237 1.504
Fe 2.037 -1.237 4.038
Fe 2.037 -3.564 5.954
Fe 2.037 -3.564 10.671
Ge 2.037 4.542 2.771
Ge 2.037 1.186 0.895
Ge 2.037 1.186 4.647
Ge 2.037 -1.186 6.436
Ge 2.037 -1.186 10.189
Ge 2.037 -4.542 8.313